Entry from the Alexandria database: a relaxed structure of Ge2Pb2S5 (PBE).

## Properties
Formation energy (no corrections) = -306 meV/atom
Calculated density = 5.351 g/cm3

extended XYZ file:
```
9
Lattice="6.608 -2.629 0.000 6.608 2.629 0.000 -2.503 0.000 6.431" Properties=species:S:1:pos:R:3 pbc="T T T"
Ge 1.082 0.000 2.424
Ge 9.630 0.000 4.007
Pb 4.585 0.000 1.280
Pb 6.128 0.000 5.151
S -1.252 0.000 3.215
S 1.930 0.000 0.280
S 3.017 0.000 3.765
S 7.695 0.000 2.666
S 8.783 0.000 6.151
```

Entry from the Alexandria database: a relaxed structure of GePbS2 (PBE).

## Properties
Formation energy (no corrections) = -203 meV/atom
Calculated density = 6.043 g/cm3

extended XYZ file:
```
12
Lattice="3.558 0.000 0.000 -1.779 3.081 0.000 0.000 0.000 25.871" Properties=species:S:1:pos:R:3 pbc="T T T"
Ge 0.000 0.000 0.000
Ge 0.000 2.054 17.248
Ge 1.779 1.027 8.624
Pb 0.000 0.000 12.936
Pb 0.000 2.054 4.312
Pb 1.779 1.027 21.560
S 0.000 0.000 10.031
S 0.000 0.000 15.841
S 0.000 2.054 1.407
S 0.000 2.054 7.217
S 1.779 1.027 18.655
S 1.779 1.027 24.464
```

Entry from the Alexandria database: a relaxed structure of GePbS2 (PBE).

## Properties
Formation energy (no corrections) = -147 meV/atom
Calculated density = 5.603 g/cm3

extended XYZ file:
```
16
Lattice="14.483 0.000 0.000 0.000 4.056 0.000 -1.201 0.000 6.941" Properties=species:S:1:pos:R:3 pbc="T T T"
Ge 0.000 0.000 0.000
Ge -0.600 0.000 3.471
Ge 7.241 2.028 0.000
Ge 6.641 2.028 3.471
Pb 3.621 1.014 0.000
Pb 3.020 3.042 3.471
Pb 10.261 1.014 3.471
Pb 10.862 3.042 0.000
S 1.420 0.966 2.020
S 0.819 3.091 5.490
S 4.621 1.063 4.922
S 5.221 2.994 1.451
S 8.061 1.063 5.490
S 8.661 2.994 2.020
S 12.462 0.966 1.451
S 11.862 3.091 4.922
```

Entry from the Alexandria database: a relaxed structure of GePbS2 (PBE).

## Properties
Formation energy (no corrections) = -312 meV/atom
Calculated density = 5.837 g/cm3

extended XYZ file:
```
12
Lattice="3.931 0.000 0.000 -1.965 3.404 0.000 0.000 0.000 21.938" Properties=species:S:1:pos:R:3 pbc="T T T"
Ge 0.000 0.000 0.000
Ge 0.000 2.269 14.625
Ge 1.965 1.135 7.313
Pb 0.000 0.000 18.167
Pb 0.000 2.269 10.854
Pb 1.965 1.135 3.541
S 0.000 0.000 9.237
S 0.000 0.000 13.371
S 0.000 2.269 1.924
S 0.000 2.269 6.058
S 1.965 1.135 16.549
S 1.965 1.135 20.684
```

Entry from the Alexandria database: a relaxed structure of GePb2S4 (PBE).

## Properties
ΔE to the lowest computed polymorph = 12 meV/atom
Formation energy (no corrections) = -461 meV/atom
Calculated density = 5.435 g/cm3

extended XYZ file:
```
56
Lattice="-7.163 7.163 7.328 7.163 -7.163 7.328 7.163 7.163 -7.328" Properties=species:S:1:pos:R:3 pbc="T T T"
Ge 3.953 -0.340 1.384
Ge 10.373 0.340 1.384
Ge 6.823 3.953 -2.280
Ge 7.503 -3.210 5.944
Ge 0.340 3.210 5.048
Ge 6.823 3.210 5.944
Ge 3.210 -0.340 9.608
Ge 3.953 7.503 2.280
Pb 3.582 2.369 -1.832
Pb 10.745 3.273 -1.832
Pb 0.000 0.000 2.108
Pb 3.582 6.877 -1.832
Pb 3.273 3.582 1.832
Pb 7.449 3.582 1.832
Pb 4.794 -3.582 9.161
Pb 3.582 0.286 5.496
Pb 0.000 7.163 1.556
Pb -3.582 3.890 5.496
Pb 3.582 4.794 5.496
Pb 0.000 0.000 12.549
Pb 2.369 10.745 1.832
Pb -0.286 3.582 9.161
Pb 3.890 3.582 9.161
Pb 0.000 7.163 5.773
S 4.772 -1.915 2.746
S 11.805 1.287 -0.077
S 5.356 1.076 0.388
S 4.481 6.245 -4.553
S 8.081 2.682 -0.888
S 9.078 -2.391 4.582
S 8.239 5.356 -3.276
S 1.287 2.521 0.077
S 2.682 0.918 2.776
S 5.248 4.772 -0.918
S 9.554 1.915 2.746
S 6.087 -1.807 6.940
S -1.076 1.807 4.052
S 2.391 -1.915 8.247
S 5.248 2.391 4.582
S 2.682 6.245 0.888
S 1.287 4.642 3.588
S 1.076 8.971 -0.388
S 1.915 2.391 6.410
S 8.081 4.481 4.553
S 4.481 0.918 8.217
S 5.356 6.087 3.276
S -2.521 5.876 3.741
S 4.772 9.078 0.918
S -0.918 4.481 6.440
S 1.807 1.076 10.605
S 5.876 4.642 7.405
S 2.521 8.450 3.741
S -4.642 5.876 7.252
S -1.287 9.684 3.588
S 1.807 6.087 7.717
S -0.918 2.682 11.881
```

Entry from the Alexandria database: a relaxed structure of GePb2S3 (PBE).

## Properties
ΔE to the lowest computed polymorph = 0 meV/atom
Formation energy (no corrections) = -408 meV/atom
Calculated density = 6.382 g/cm3

extended XYZ file:
```
12
Lattice="6.530 -2.973 0.000 6.530 2.973 0.000 -2.608 0.000 7.816" Properties=species:S:1:pos:R:3 pbc="T T T"
Ge 4.574 2.771 5.862
Ge 5.878 -2.771 1.954
Pb 1.909 0.026 7.147
Pb 3.213 -0.026 3.238
Pb 7.240 0.026 4.578
Pb 8.544 -0.026 0.670
S 1.813 0.026 0.601
S 0.509 -0.026 4.510
S 4.574 0.339 5.862
S 5.878 -0.339 1.954
S 9.943 0.026 3.307
S 8.639 -0.026 7.215
```

Question: Among the records above, which one has the lowest formation energy (no corrections)?
Answer: GePb2S4